Entry 1:
VASP calculation (GGA-PBE) on TlAsBr2 after structural relaxation.

Properties
electronic total energy = -0.101 hartree per atom
N(E_F) = 1.16 states/eV/f.u.
SG = No. 6

```
TlAsBr2
1.0
4.545 0.000 0.000
0.000 3.676 0.000
-0.540 0.000 7.414
Tl As Br
1 1 2
Cartesian
0.000 0.000 0.000
4.256 1.838 3.494
1.598 1.838 5.113
2.261 1.838 1.544
```


Entry 2:
VASP calculation (GGA-PBE) on InMoP3 after structural relaxation.

Properties
energy of formation from the pure elements = 350.2 meV per atom
electronic total energy = -0.206 hartree per atom
N(E_F) = 2.73 states/eV/f.u.
SG = No. 221

```
InMoP3
1.0
4.753 0.000 0.000
0.000 4.753 0.000
0.000 0.000 4.753
In Mo P
1 1 3
Cartesian
0.000 0.000 0.000
2.376 2.376 2.376
0.000 2.376 2.376
2.376 0.000 2.376
2.376 2.376 0.000
```


Entry 3:
VASP calculation (GGA-PBE) on BC3 after structural relaxation.

Properties
energy of formation from the pure elements = 311.7 meV per atom
electronic total energy = -0.304 hartree per atom
N(E_F) = 1.10 states/eV/f.u.
SG = No. 1

```
BC3
1.0
2.509 0.000 0.000
0.001 4.557 0.000
1.202 2.234 4.325
B C
1 3
Cartesian
0.000 0.000 0.000
1.202 5.235 4.325
1.254 0.849 0.000
2.456 4.502 4.325
```


| no. | E above lowest polymorph (eV per formula unit) | total magnetic moment (μB/atom) |
| --- | --- | --- |
| 1 | 0.36 | 0.000 |
| 2 | 0.00 | 0.000 |
| 3 | 0.28 | 0.000 |